No. 1
Here is a relaxed structure of Zn2CuSe from Alexandria. Energies are from PBE.

Cell: 3.5691 3.5691 5.1368 Å, 90.00 90.00 90.00°
With the nearest neighbours (Å) after each atom.
Space group P4/mmm (No. 123)
Unique sites:
Zn  0.0000  0.0000  0.2409  2 Zn 2.47-2.66
Cu  0.5000  0.5000  0.0000  2 Se 2.57, 8 Zn 2.81
Se  0.5000  0.5000  0.5000  2 Cu 2.57, 8 Zn 2.85

Calculated volume, Å³ per atom: 16.4
E_form (uncorrected), eV per atom: 0.04
DOS(E_F), states/eV per atom: 0.14
E, Ha/atom: -0.0917

No. 2
Here is a relaxed structure of Y3Th2Se6 from Alexandria. Energies are from PBE.

Cell: 7.0985 12.3491 7.1497 Å, 90.00 109.55 90.00°
With the nearest neighbours (Å) after each atom.
Space group C2/m (No. 12)
Unique sites:
Y  0.0000  0.0000  0.0000  6 Se 2.86-2.98
Y  0.0000  0.3339  0.0000  6 Se 2.86-2.95
Th  0.0000  0.1656  0.5000  6 Se 2.94-2.96
Se  0.2376  0.5000  0.2488  3 Y 2.86-2.98, 2 Th 2.94
Se  0.2467  0.3378  0.7549  3 Y 2.86-2.95, 2 Th 2.96

Calculated volume, Å³ per atom: 26.8
E_form (uncorrected), eV per atom: -1.76
DOS(E_F), states/eV per atom: 0.47
E, Ha/atom: -0.2489

No. 3
Here is a relaxed structure of Pr6P2S3I from Alexandria. Energies are from PBE.

Cell: 18.2811 4.1917 8.5105 Å, 90.00 102.38 90.00°
With the nearest neighbours (Å) after each atom.
Space group C2/m (No. 12)
Unique sites:
Pr  0.0051  0.0000  0.2880  3 S 2.78-2.98, 1 P 2.91
Pr  0.1684  0.5000  0.5788  3 P 2.93-2.96, 3 S 3.01-3.05
Pr  0.1813  0.5000  0.1031  3 S 2.83-3.06, 2 P 2.92
P  0.1675  0.0000  0.3335  6 Pr 2.91-2.96
S  0.0000  0.5000  0.5000  6 Pr 2.78-3.01
S  0.1601  0.0000  0.8353  6 Pr 2.83-3.06
I  0.0000  0.5000  0.0000  6 Pr 3.21-3.24

Calculated volume, Å³ per atom: 26.5
E_form (uncorrected), eV per atom: -1.69
DOS(E_F), states/eV per atom: 0.42
E, Ha/atom: -0.2256

No. 4
Here is a relaxed structure of SrLiI3 from Alexandria. Energies are from PBE.

Cell: 4.8642 25.2455 7.7294 Å, 90.00 90.00 90.00°
With the nearest neighbours (Å) after each atom.
Space group Ama2 (No. 40)
Unique sites:
Sr  0.2500  0.1680  0.0000  6 I 3.22-3.40
Li  0.2500  0.3832  0.9165  4 I 2.78-2.96
I  0.2500  0.0781  0.2957  2 Li 2.78
I  0.2500  0.2782  0.7467  1 Li 2.96
I  0.2500  0.3830  0.2762  1 Li 2.78

Calculated volume, Å³ per atom: 47.5
E_form (uncorrected), eV per atom: -1.48
DOS(E_F), states/eV per atom: 0.00
E, Ha/atom: -0.1150

No. 5
Here is a relaxed structure of Cu2SnAu2 from Alexandria. Energies are from PBE.

Cell: 8.9250 4.2497 5.2956 Å, 90.00 118.93 90.00°
With the nearest neighbours (Å) after each atom.
Space group C2/m (No. 12)
Unique sites:
Cu  0.2109  0.0000  0.3443  2 Cu 2.57, 5 Au 2.69-2.82, 2 Sn 2.84
Sn  0.0000  0.5000  0.0000  6 Cu 2.84-3.17, 6 Au 2.89-2.95
Au  0.1340  0.0000  0.7771  5 Cu 2.69-2.82, 1 Au 2.75, 3 Sn 2.89-2.95

Calculated volume, Å³ per atom: 17.6
Energy above the lowest structure with this stoichiometry, meV/atom: 35
Energy relative to the elements, eV per atom: 0.011
DOS(E_F), states/eV per atom: 0.28
E, Ha/atom: -0.1374

No. 6
Here is a relaxed structure of PrHo2Si4 from Alexandria. Energies are from PBE.

Cell: 3.8938 4.3079 17.5548 Å, 90.00 90.00 90.00°
With the nearest neighbours (Å) after each atom.
Space group Immm (No. 71)
Unique sites:
Pr  0.0000  0.0000  0.0000  12 Si 3.14-3.42
Ho  0.0000  0.5000  0.3168  7 Si 2.91-2.96
Si  0.0000  0.0000  0.4323  3 Si 2.38-2.44
Si  0.0000  0.5000  0.1511  2 Si 2.44

Calculated volume, Å³ per atom: 21.0
E_form (uncorrected), eV per atom: -0.76
DOS(E_F), states/eV per atom: 0.48
E, Ha/atom: -0.2149

No. 7
Here is a relaxed structure of Li3GaC from Alexandria. Energies are from PBE.

Cell: 4.8027 4.8027 4.8027 Å, 90.00 90.00 90.00°
With the nearest neighbours (Å) after each atom.
Space group Pm-3m (No. 221)
Unique sites:
Li  0.0000  0.0000  0.5000  2 Ga 2.40
Ga  0.0000  0.0000  0.0000  6 Li 2.40
C  0.5000  0.5000  0.5000  12 Li 3.40

Calculated volume, Å³ per atom: 22.2
Energy above the lowest structure with this stoichiometry, meV/atom: 974
Energy relative to the elements, eV per atom: 1.345
DOS(E_F), states/eV per atom: 0.04
E, Ha/atom: -0.0828

No. 8
Here is a relaxed structure of Ba4SrPa3N8 from Alexandria. Energies are from PBE.

Cell: 7.3972 7.3972 19.2608 Å, 90.00 90.00 120.00°
With the nearest neighbours (Å) after each atom.
Space group R-3m (No. 166, hexagonal axes)
Unique sites:
Ba  0.0000  0.0000  0.0000  6 N 2.79
Ba  0.0000  0.5000  0.0000  6 N 2.94-3.06
Sr  0.0000  0.0000  0.5000  6 N 2.64
Pa  0.0000  0.5000  0.5000  6 N 2.33-2.44
N  0.0000  0.0000  0.2282  3 Pa 2.44
N  0.0372  0.5186  0.7732  2 Pa 2.33

Calculated volume, Å³ per atom: 19.0
E_form (uncorrected), eV per atom: -1.14
DOS(E_F), states/eV per atom: 0.19
E, Ha/atom: -0.2818

Q: Number 3 is which compound?
A: Pr6P2S3I